Density functional theory data (GGA+U) for crystalline V3Zn2GaO11 at its relaxed geometry.

a = 6.5720 Å, b = 6.9291 Å, c = 9.9831 Å
α = 97.91°, β = 101.51°, γ = 101.39°
Space group P-1 (No. 2)
Symmetry-distinct sites (fractional):
V  0.1763  0.4834  0.2856 (multiplicity 2)
V  0.1970  0.0742  0.6146 (multiplicity 2)
V  0.2583  0.1797  0.9779 (multiplicity 2)
Zn  0.2896  0.0040  0.2793 (multiplicity 2)
Zn  0.3219  0.6211  0.6625 (multiplicity 2)
Ga  0.1890  0.6764  0.0024 (multiplicity 2)
O  0.1064  0.6292  0.7884 (multiplicity 2)
O  0.1114  0.0070  0.4191 (multiplicity 2)
O  0.1236  0.3781  0.0130 (multiplicity 2)
O  0.1596  0.0811  0.8065 (multiplicity 2)
O  0.1958  0.5661  0.4540 (multiplicity 2)
O  0.2168  0.9694  0.0605 (multiplicity 2)
O  0.2465  0.7005  0.2129 (multiplicity 2)
O  0.3120  0.3164  0.6393 (multiplicity 2)
O  0.3489  0.3156  0.2731 (multiplicity 2)
O  0.3886  0.9320  0.6449 (multiplicity 2)
O  0.4784  0.7094  0.9923 (multiplicity 2)

## Properties
As for the calculated volume: 12.62 A^3/atom. As for the total magnetization: 0.0 Bohr magnetons per cell. The calculation puts the total energy at -224.447 eV per cell.